No. 1
SrRu2Pt2 (GGA-PBE, optimized geometry); formation enthalpy at 0 K = 0.012 eV/atom; raw total energy = -6.45 eV per atom
1.0
-2.1734 2.1734 5.2260
2.1734 -2.1734 5.2260
2.1734 2.1734 -5.2260
Sr Ru Pt
1 2 2
Direct
0.0000 0.0000 0.0000
0.3932 0.3932 0.0000
0.6068 0.6068 0.0000
0.2500 0.7500 0.5000
0.7500 0.2500 0.5000

No. 2
Sr2RuPt (GGA-PBE, optimized geometry); formation enthalpy at 0 K = 0.046 eV/atom; raw total energy = -4.62 eV per atom
1.0
-1.8398 2.4841 5.6327
1.8398 -2.4841 5.6327
1.8398 2.4841 -5.6327
Sr Ru Pt
2 1 1
Direct
0.0000 0.0000 0.0000
0.7181 0.2181 0.5000
0.4374 0.4374 0.0000
0.2746 0.7746 0.5000

No. 3
SrRuPt2 (GGA-PBE, optimized geometry); formation enthalpy at 0 K = 0.252 eV/atom; raw total energy = -5.51 eV per atom
1.0
0.0000 3.3496 3.3496
3.3496 0.0000 3.3496
3.3496 3.3496 0.0000
Sr Ru Pt
1 1 2
Direct
0.0000 0.0000 0.0000
0.2500 0.2500 0.2500
0.5000 0.5000 0.5000
0.7500 0.7500 0.7500

No. 4
SrRuPt2 (GGA-PBE, optimized geometry); formation enthalpy at 0 K = 0.087 eV/atom; raw total energy = -5.67 eV per atom
1.0
-2.5308 2.5308 8.3933
2.5308 -2.5308 8.3933
2.5308 2.5308 -8.3933
Sr Ru Pt
2 2 4
Direct
0.0000 0.0000 0.0000
0.7500 0.2500 0.5000
0.2500 0.7500 0.5000
0.5000 0.5000 0.0000
0.3240 0.6250 0.1990
0.3750 0.5740 0.6990
0.4260 0.1250 0.8010
0.8750 0.6760 0.3010

No. 5
Sr2RuPt (GGA-PBE, optimized geometry); formation enthalpy at 0 K = 0.358 eV/atom; raw total energy = -4.31 eV per atom
1.0
-4.0708 4.0708 3.0752
4.0708 -4.0708 3.0752
4.0708 4.0708 -3.0752
Sr Ru Pt
4 2 2
Direct
0.1189 0.1250 0.4939
0.3750 0.8811 0.0061
0.6311 0.6250 0.5061
0.8750 0.3689 0.9939
0.2500 0.7500 0.5000
0.5000 0.5000 0.0000
0.0000 0.0000 0.0000
0.7500 0.2500 0.5000

No. 6
SrRu3Pt (GGA-PBE, optimized geometry); formation enthalpy at 0 K = 2.716 eV/atom; raw total energy = -4.39 eV per atom
1.0
4.7757 0.0000 0.0000
0.0000 4.7757 0.0000
0.0000 0.0000 4.7757
Sr Ru Pt
1 3 1
Direct
0.0000 0.0000 0.0000
0.0000 0.0000 0.5000
0.0000 0.5000 0.0000
0.5000 0.0000 0.0000
0.5000 0.5000 0.5000

No. 7
SrRuPt2 (GGA-PBE, optimized geometry); formation enthalpy at 0 K = 0.182 eV/atom; raw total energy = -5.58 eV per atom
1.0
-1.9599 2.4116 4.1573
1.9599 -2.4116 4.1573
1.9599 2.4116 -4.1573
Sr Ru Pt
1 1 2
Direct
0.0000 0.0000 0.0000
0.5000 0.5000 0.0000
0.2818 0.7818 0.5000
0.7182 0.2182 0.5000

No. 8
SrRuPt2 (GGA-PBE, optimized geometry); formation enthalpy at 0 K = 0.097 eV/atom; raw total energy = -5.66 eV per atom
1.0
-1.4394 2.4902 5.2290
1.4394 -2.4902 5.2290
1.4394 2.4902 -5.2290
Sr Ru Pt
1 1 2
Direct
0.0000 0.0000 0.0000
0.7216 0.2216 0.5000
0.2721 0.7721 0.5000
0.5050 0.5050 0.0000